VASP calculation (PBE with a Hubbard U) on crystalline DyMoBrO4 at its relaxed geometry.

Cell and atoms, written as extended XYZ:
```
28
Lattice="-2.866 5.113 -3.939 -6.408 -3.012 1.962 3.551 4.532 9.325" Properties=species:S:1:pos:R:3 pbc="T T T"
Mo 1.125 4.775 7.344
Mo -6.848 1.858 0.004
Mo -2.019 1.597 3.392
Mo -3.704 5.036 3.956
Br -4.042 3.337 -2.520
Br 0.993 3.674 3.842
Br -1.681 3.295 9.868
Br -6.716 2.959 3.506
O -0.525 4.287 6.847
O -1.387 2.429 1.853
O -1.107 3.869 -0.553
O -4.336 4.204 5.495
O -5.198 2.346 0.501
O -2.098 5.682 4.389
O -3.215 5.452 7.822
O -7.837 3.312 -0.266
O -3.538 3.970 2.526
O -1.880 1.280 7.419
O -3.843 5.353 -0.071
O 2.114 3.320 7.614
O -2.185 2.662 4.822
O -4.616 2.763 7.901
O -2.507 1.181 -0.474
O -3.625 0.951 2.960
Dy -5.794 0.207 2.991
Dy -3.118 3.227 0.369
Dy 0.071 6.426 4.357
Dy -2.605 3.405 6.979
```

Properties
- Distance to the lowest polymorph of the same formula: 0 meV/atom
- DFT total energy: -194.3 eV per cell
- Total moment: 0.00 μB per formula unit